# 1
Compound: MgTiAl4
Source: Alexandria
Functional: PBE
Structure: optimized geometry

abc: 5.278 5.278 5.278
angles: 60.00 60.00 60.00
Site moments in Bohr magnetons follow the coordinates.
Sites, in units of the cell vectors:
Al: 0.625 0.625 0.124  0.00
Al: 0.625 0.124 0.625  0.00
Al: 0.625 0.625 0.625  0.00
Al: 0.124 0.625 0.625  0.00
Ti: 0.000 0.000 0.000  1.02
Mg: 0.250 0.250 0.250  0.01

* symmetry: F-43m
* formation energy: -11 kJ/mol of atoms
* density of states at the Fermi level: 3.5 states/eV per cell
* VASP energy: -4.195 eV/atom

=====

# 2
Compound: Mg16TiAl12
Source: Alexandria
Functional: PBE
Structure: optimized geometry

abc: 9.056 9.056 9.056
angles: 109.47 109.47 109.47
Sites, in units of the cell vectors:
Mg: 0.317 0.714 0.317
Mg: 0.000 0.000 0.657
Mg: 0.000 0.683 0.398
Mg: 0.000 0.398 0.683
Mg: 0.000 0.657 0.000
Mg: 0.602 0.286 0.602
Mg: 0.657 0.000 0.000
Mg: 0.398 0.000 0.683
Mg: 0.714 0.317 0.317
Mg: 0.286 0.602 0.602
Mg: 0.317 0.317 0.714
Mg: 0.343 0.343 0.343
Mg: 0.683 0.000 0.398
Mg: 0.602 0.602 0.286
Mg: 0.398 0.683 0.000
Mg: 0.683 0.398 0.000
Al: 0.636 0.821 0.636
Al: 0.000 0.184 0.364
Al: 0.821 0.636 0.636
Al: 0.000 0.364 0.184
Al: 0.364 0.184 0.000
Al: 0.816 0.816 0.179
Al: 0.179 0.816 0.816
Al: 0.184 0.364 0.000
Al: 0.636 0.636 0.821
Al: 0.184 0.000 0.364
Al: 0.364 0.000 0.184
Al: 0.816 0.179 0.816
Ti: 0.000 0.000 0.000

* symmetry: I-43m
* formation energy: -3 kJ/mol of atoms
* density of states at the Fermi level: 15.8 states/eV per cell
* VASP energy: -2.728 eV/atom

=====

Q: Which of these has the highest formation energy?
A: Mg16TiAl12

=====

Q: Among the records above, which one has the lowest formation energy?
A: MgTiAl4